# PBE NpCrP2Ir, optimized geometry
# density = 11.41 g/cm³
# ΔE_f = -606 meV/atom
data_NpCrP2Ir
_cell_length_a 3.879
_cell_length_b 3.879
_cell_length_c 10.511
_cell_angle_alpha 90.00
_cell_angle_beta 90.00
_cell_angle_gamma 90.00
_space_group_name_H-M_alt 'I -4 m 2'
_space_group_IT_number 119
_space_group_name_Hall 'I -4 -2'
loop_
_atom_site_label
_atom_site_type_symbol
_atom_site_fract_x
_atom_site_fract_y
_atom_site_fract_z
Np1 Np 0.000 0.000 0.000
Cr1 Cr 0.000 0.500 0.750
P1 P 0.000 0.000 0.381
Ir1 Ir 0.000 0.500 0.250